[1]
Material: LiCaDyCd
Method: DFT, PBE
State: optimized geometry

```
4
Lattice="0.0000 3.7734 3.7734 3.7734 0.0000 3.7734 3.7734 3.7734 0.0000" Properties=species:S:1:pos:R:3 pbc="T T T"
Li 0.0000 0.0000 0.0000
Ca 5.6600 5.6600 5.6600
Dy 1.8867 1.8867 1.8867
Cd 3.7734 3.7734 3.7734
```

Summary:
Mass density ... 4.98 Mg/m³
Crystal system ... cubic
Energy relative to the elements ... -0.134 eV per atom
Electronic total energy ... -9.97 eV for the cell shown
Space-group type ... F-43m, No. 216



[2]
Material: LiCaDy2Cd4
Method: DFT, PBE
State: optimized geometry

```
8
Lattice="2.6060 1.5046 8.5067 -2.6060 1.5046 8.5067 0.0000 -3.0092 8.5067" Properties=species:S:1:pos:R:3 pbc="T T T"
Li 0.0000 0.0000 0.0000
Ca 0.0000 0.0000 12.7601
Dy 0.0000 0.0000 6.4042
Dy 0.0000 0.0000 19.1159
Cd 0.0000 0.0000 3.0436
Cd 0.0000 0.0000 9.5134
Cd 0.0000 0.0000 16.0067
Cd 0.0000 0.0000 22.4765
```

Summary:
Mass density ... 6.82 Mg/m³
Crystal system ... trigonal
Energy relative to the elements ... -0.282 eV per atom
Electronic total energy ... -19.04 eV for the cell shown
Space-group type ... R-3m, No. 166



[3]
Material: CaDyCdPb
Method: DFT, PBE
State: optimized geometry

```
4
Lattice="0.0000 3.8283 3.8283 3.8283 0.0000 3.8283 3.8283 3.8283 0.0000" Properties=species:S:1:pos:R:3 pbc="T T T"
Ca 0.0000 0.0000 0.0000
Dy 3.8283 3.8283 3.8283
Cd 1.9142 1.9142 1.9142
Pb 5.7425 5.7425 5.7425
```

Summary:
Mass density ... 7.73 Mg/m³
Crystal system ... cubic
Energy relative to the elements ... -0.402 eV per atom
Electronic total energy ... -12.84 eV for the cell shown
Space-group type ... F-43m, No. 216



[4]
Material: CaDyCdPd
Method: DFT, PBE
State: optimized geometry

```
4
Lattice="0.0000 3.6349 3.6349 3.6349 0.0000 3.6349 3.6349 3.6349 0.0000" Properties=species:S:1:pos:R:3 pbc="T T T"
Ca 0.0000 0.0000 0.0000
Dy 3.6349 3.6349 3.6349
Cd 1.8174 1.8174 1.8174
Pd 5.4523 5.4523 5.4523
```

Summary:
Mass density ... 7.29 Mg/m³
Crystal system ... cubic
Energy relative to the elements ... -0.497 eV per atom
Electronic total energy ... -14.70 eV for the cell shown
Space-group type ... F-43m, No. 216



[5]
Material: CaPmDyCd
Method: DFT, PBE
State: optimized geometry

```
4
Lattice="0.0000 3.9463 3.9463 3.9463 0.0000 3.9463 3.9463 3.9463 0.0000" Properties=species:S:1:pos:R:3 pbc="T T T"
Ca 0.0000 0.0000 0.0000
Pm 1.9732 1.9732 1.9732
Dy 3.9463 3.9463 3.9463
Cd 5.9195 5.9195 5.9195
```

Summary:
Mass density ... 6.21 Mg/m³
Crystal system ... cubic
Energy relative to the elements ... 0.046 eV per atom
Electronic total energy ... -12.09 eV for the cell shown
Space-group type ... F-43m, No. 216



[6]
Material: CaPrDyCd
Method: DFT, PBE
State: optimized geometry

```
4
Lattice="0.0000 3.9531 3.9531 3.9531 0.0000 3.9531 3.9531 3.9531 0.0000" Properties=species:S:1:pos:R:3 pbc="T T T"
Ca 0.0000 0.0000 0.0000
Pr 1.9765 1.9765 1.9765
Dy 5.9296 5.9296 5.9296
Cd 3.9531 3.9531 3.9531
```

Summary:
Mass density ... 6.13 Mg/m³
Crystal system ... cubic
Energy relative to the elements ... -0.028 eV per atom
Energy relative to the lowest polymorph listed for this composition ... 119 meV/atom
Electronic total energy ... -12.41 eV for the cell shown
Space-group type ... F-43m, No. 216



[7]
Material: CaPrDyCd
Method: DFT, PBE
State: optimized geometry

```
4
Lattice="3.6617 0.0000 0.0000 0.0000 3.6617 0.0000 0.0000 0.0000 9.5035" Properties=species:S:1:pos:R:3 pbc="T T T"
Ca 0.0000 0.0000 0.0000
Pr 1.8308 1.8308 2.9635
Dy 0.0000 0.0000 5.4540
Cd 1.8308 1.8308 7.3996
```

Summary:
Mass density ... 5.94 Mg/m³
Crystal system ... tetragonal
Energy relative to the elements ... -0.148 eV per atom
Energy relative to the lowest polymorph listed for this composition ... 0 meV/atom
Electronic total energy ... -12.89 eV for the cell shown
Space-group type ... P4mm, No. 99



[8]
Material: CaDyCdPt
Method: DFT, PBE
State: optimized geometry

```
4
Lattice="0.0000 3.6031 3.6031 3.6031 0.0000 3.6031 3.6031 3.6031 0.0000" Properties=species:S:1:pos:R:3 pbc="T T T"
Ca 0.0000 0.0000 0.0000
Dy 3.6031 3.6031 3.6031
Cd 1.8015 1.8015 1.8015
Pt 5.4046 5.4046 5.4046
```

Summary:
Mass density ... 9.05 Mg/m³
Crystal system ... cubic
Energy relative to the elements ... -0.658 eV per atom
Electronic total energy ... -16.19 eV for the cell shown
Space-group type ... F-43m, No. 216



Which of these has the lowest electronic total energy?
LiCaDy2Cd4



Please write out number 8 again, unchanged.
Material: CaDyCdPt
Method: DFT, PBE
State: optimized geometry

```
4
Lattice="0.0000 3.6031 3.6031 3.6031 0.0000 3.6031 3.6031 3.6031 0.0000" Properties=species:S:1:pos:R:3 pbc="T T T"
Ca 0.0000 0.0000 0.0000
Dy 3.6031 3.6031 3.6031
Cd 1.8015 1.8015 1.8015
Pt 5.4046 5.4046 5.4046
```

Summary:
Mass density ... 9.05 Mg/m³
Crystal system ... cubic
Energy relative to the elements ... -0.658 eV per atom
Electronic total energy ... -16.19 eV for the cell shown
Space-group type ... F-43m, No. 216



Which value of energy relative to the elements does entry 3 give?
-0.402 eV per atom



Look up the electronic total energy of the sixth one.
-12.41 eV for the cell shown